An optimized crystal structure of Al2CuTe, computed with PBE-GGA.

Summary:
Total moment ... 0.0 μB per formula unit
Uncorrected formation energy ... 8.5 kJ/mol of atoms
E_tot ... -3.593 eV per atom

Unit cell a=3.680 b=3.638 c=6.164 alpha=90.00 beta=104.31 gamma=90.00
Space group Pm (No. 6)
One atom of each set of equivalent atoms:
Al: 0.000 0.000 0.000
Al: 0.347 0.500 0.694
Cu: 0.810 0.000 0.601
Te: 0.593 0.500 0.209